1.
# GGA-PBE LiPuTl, relaxed
# * polymorph energy (0 for the lowest one): 0.0628 eV/atom
# * DFT formation energy: -3 kJ/mol of atoms
data_LiPuTl
_cell_length_a 5.1170
_cell_length_b 5.1170
_cell_length_c 3.1324
_cell_angle_alpha 90.00
_cell_angle_beta 90.00
_cell_angle_gamma 120.00
_space_group_name_H-M_alt 'P -6 m 2'
_space_group_IT_number 187
_space_group_name_Hall 'P -6 2'
loop_
_atom_site_label
_atom_site_type_symbol
_atom_site_fract_x
_atom_site_fract_y
_atom_site_fract_z
Li1 Li 0.0000 0.0000 0.0000
Pu1 Pu 0.6667 0.3333 0.5000
Tl1 Tl 0.3333 0.6667 0.0000


2.
# GGA-PBE PuScPaSn, relaxed
# * DFT formation energy: -9 kJ/mol of atoms
data_PuScPaSn
_cell_length_a 7.244
_cell_length_b 7.244
_cell_length_c 7.244
_cell_angle_alpha 90.00
_cell_angle_beta 90.00
_cell_angle_gamma 90.00
_space_group_name_H-M_alt 'F -4 3 m'
_space_group_IT_number 216
_space_group_name_Hall 'F -4 2 3'
loop_
_atom_site_label
_atom_site_type_symbol
_atom_site_fract_x
_atom_site_fract_y
_atom_site_fract_z
Pu1 Pu 0.000 0.000 0.000
Sc1 Sc 0.000 0.000 0.500
Pa1 Pa 0.250 0.250 0.250
Sn1 Sn 0.250 0.250 0.750


3.
# GGA-PBE CuSbPb2S5, relaxed
# * formation energy (no corrections): -0.273 eV/atom
data_CuSbPb2S5
_cell_length_a 3.878
_cell_length_b 17.268
_cell_length_c 12.966
_cell_angle_alpha 90.00
_cell_angle_beta 90.00
_cell_angle_gamma 90.00
_space_group_name_H-M_alt 'C m c 21'
_space_group_IT_number 36
loop_
_space_group_symop_operation_xyz
'x,y,z'
'-x,-y,z+1/2'
'-x,y,z'
'x,-y,z+1/2'
'x+1/2,y+1/2,z'
'-x+1/2,-y+1/2,z+1/2'
'-x+1/2,y+1/2,z'
'x+1/2,-y+1/2,z+1/2'
loop_
_atom_site_label
_atom_site_type_symbol
_atom_site_fract_x
_atom_site_fract_y
_atom_site_fract_z
Cu1 Cu 0.000 0.060 0.000
Sb1 Sb 0.000 0.283 0.605
Pb1 Pb 0.000 0.362 0.896
Pb2 Pb 0.000 0.433 0.232
S1 S 0.000 0.009 0.352
S2 S 0.000 0.139 0.563
S3 S 0.000 0.196 0.968
S4 S 0.000 0.232 0.241
S5 S 0.000 0.440 0.594


Energy for the records above, in order: -6.233, -8.638, -4.304 eV/atom